--- 1 ---
DFT (PBE) results for crystalline PmPr4Tm at its relaxed geometry.

extended XYZ file:
```
6
Lattice="-2.4604 1.5075 -1.9904 0.2933 -2.7781 -5.5534 -8.0607 -6.0965 2.2599" Properties=species:S:1:pos:R:3 pbc="T T T"
Pr -5.6819 -3.8662 1.0087
Pr -2.6982 -1.4327 -3.9232
Pr -4.5459 -3.5009 -6.2925
Pr -7.5296 -5.9344 -1.3606
Pm -5.1139 -3.6835 -2.6419
Tm 0.0000 0.0000 0.0000
```

Results
DOS(E_F) = 1.8417 states/eV/atom
volume = 213.36 Å³/f.u.

--- 2 ---
DFT (PBE) results for crystalline PmPr4Tm at its relaxed geometry.

extended XYZ file:
```
6
Lattice="-5.8682 -4.2719 3.8292 -2.3023 -7.6073 2.0436 2.6125 0.4058 4.4594" Properties=species:S:1:pos:R:3 pbc="T T T"
Pr -2.7353 -3.9769 1.9661
Pr -0.0367 -1.7497 3.1951
Pr -2.8227 -7.4964 8.3661
Pr -5.5213 -9.7237 7.1371
Pm -2.7790 -5.7367 5.1661
Tm 0.0000 0.0000 0.0000
```

Results
DOS(E_F) = 1.5530 states/eV/atom
volume = 209.79 Å³/f.u.

In order of decreasing stability: 2, 1.

--- 1 ---
DFT (PBE) results for crystalline Pm3Pr8Tm2 at its relaxed geometry.

extended XYZ file:
```
13
Lattice="6.1107 0.2880 1.3182 1.9446 8.5999 1.4917 0.7912 -0.7320 8.8771" Properties=species:S:1:pos:R:3 pbc="T T T"
Pr 6.0442 3.7182 5.6421
Pr 2.6251 6.6886 8.8614
Pr 5.2772 5.0466 2.4703
Pr 6.2214 1.4673 2.8256
Pr 2.8024 4.4376 6.0449
Pr 3.5693 3.1092 9.2167
Pr 4.1330 7.6704 5.6069
Pr 4.7135 0.4854 6.0801
Tm 2.9772 2.3715 3.4615
Tm 5.8693 5.7844 8.2255
Pm 1.6611 6.3064 3.3067
Pm 1.0747 1.5614 7.0620
Pm 3.0554 0.1440 0.6591
```

Results
DOS(E_F) = 1.7426 states/eV/atom
volume = 457.70 Å³/f.u.

--- 2 ---
DFT (PBE) results for crystalline Pm3Pr8Tm2 at its relaxed geometry.

extended XYZ file:
```
13
Lattice="-4.8225 -1.8518 -2.7659 3.2677 -6.9969 -1.0129 -5.5588 0.3692 9.4606" Properties=species:S:1:pos:R:3 pbc="T T T"
Pr -2.3022 -3.6487 0.2523
Pr -4.8114 -4.8308 5.4294
Pr -6.1667 -1.9289 5.8495
Pr -0.9470 -6.5506 -0.1677
Pr -1.2430 -5.7903 6.0440
Pr -5.8706 -2.6892 -0.3622
Pr 0.2520 -4.5977 2.6293
Pr -7.3657 -3.8818 3.0525
Tm -4.2930 -2.4294 2.9326
Tm -2.8207 -6.0501 2.7491
Pm 2.3307 -4.9906 -0.7225
Pm 0.9370 -2.0063 -0.2904
Pm -2.4112 -0.9259 -1.3829
```

Results
DOS(E_F) = 1.4363 states/eV/atom
volume = 468.48 Å³/f.u.

In order of decreasing stability: 1, 2.

--- 1 ---
DFT (PBE) results for crystalline Pm2PrTm8 at its relaxed geometry.

extended XYZ file:
```
11
Lattice="5.0090 0.0000 0.0000 0.0000 7.8934 0.4779 -2.5045 -2.8887 8.5440" Properties=species:S:1:pos:R:3 pbc="T T T"
Pm 0.0000 3.7141 4.1932
Pm 2.5045 1.2905 4.8287
Tm 0.0000 0.6357 2.4196
Tm 0.0000 -1.1088 5.4839
Tm 2.5045 4.3689 6.6022
Tm 2.5045 3.0785 1.7573
Tm 0.0000 1.9262 7.2646
Tm 2.5045 -0.4651 7.9096
Tm 0.0000 5.4697 1.1123
Tm 2.5045 6.1134 3.5380
Pr 2.5045 0.0000 0.0000
```

Results
DOS(E_F) = 1.3881 states/eV/atom
volume = 344.73 Å³/f.u.

--- 2 ---
DFT (PBE) results for crystalline Pm2PrTm8 at its relaxed geometry.

extended XYZ file:
```
11
Lattice="5.2176 0.0000 -1.5843 -0.9838 7.2851 -3.2398 -0.0030 -0.2608 9.3736" Properties=species:S:1:pos:R:3 pbc="T T T"
Pr 2.6088 0.0000 -0.7922
Tm -0.6949 5.1458 -2.2884
Tm 2.9125 3.0762 0.2079
Tm 0.6834 1.0933 2.2506
Tm 3.5474 5.9310 2.2988
Tm 2.5041 6.1007 -1.1370
Tm 1.3183 3.9481 4.3415
Tm 1.7267 0.9237 5.6864
Tm 4.9256 1.8786 6.8378
Pm 3.8773 2.0296 3.3853
Pm 0.3535 4.9947 1.1642
```

Results
DOS(E_F) = 1.2076 states/eV/atom
volume = 351.45 Å³/f.u.

In order of decreasing stability: 1, 2.

--- 1 ---
DFT (PBE) results for crystalline Pm4Pr4Tm at its relaxed geometry.

extended XYZ file:
```
9
Lattice="5.1681 0.0000 0.0000 2.5840 7.7697 0.0000 2.5840 0.0000 7.7697" Properties=species:S:1:pos:R:3 pbc="T T T"
Pr 5.1681 2.5754 7.7682
Pr 7.7521 7.7682 5.1943
Pr 2.5840 0.0015 2.5754
Pr 5.1681 5.1943 0.0015
Pm 5.1681 5.1812 5.1805
Pm 5.1681 2.5885 2.5893
Pm 7.7521 2.5893 5.1812
Pm 2.5840 5.1805 2.5885
Tm 0.0000 0.0000 0.0000
```

Results
DOS(E_F) = 1.4894 states/eV/atom
volume = 311.99 Å³/f.u.

--- 2 ---
DFT (PBE) results for crystalline Pm4Pr4Tm at its relaxed geometry.

extended XYZ file:
```
9
Lattice="-0.6144 -0.8061 6.8936 3.0446 -1.4317 6.1019 1.1211 11.8711 4.8941" Properties=species:S:1:pos:R:3 pbc="T T T"
Pr 0.5881 2.6435 5.2104
Pr 2.9633 6.9897 12.6791
Pr 2.3591 0.0515 6.3457
Pr 1.1923 9.5817 11.5438
Pm 2.5911 3.6266 13.6976
Pm 1.3082 2.0630 8.9796
Pm 0.9602 6.0067 4.1919
Pm 2.2432 7.5702 8.9099
Tm -0.3072 -0.4031 3.4468
```

Results
DOS(E_F) = 1.1663 states/eV/atom
volume = 315.53 Å³/f.u.

In order of decreasing stability: 1, 2.

--- 1 ---
DFT (PBE) results for crystalline Pm7Pr2Tm at its relaxed geometry.

extended XYZ file:
```
10
Lattice="-1.7931 1.6919 -2.4818 8.0849 -7.0218 -10.6283 -11.6831 1.4574 9.4347" Properties=species:S:1:pos:R:3 pbc="T T T"
Pm 4.3779 -5.4317 -6.8660
Pm -7.9761 -0.1326 5.6724
Pm -3.6979 0.3188 0.4238
Pm -1.6934 -4.1912 -4.0991
Pm -5.5458 -2.5388 -0.1892
Pm -2.6957 -1.9362 -1.8377
Pm 0.1545 -1.3337 -3.4861
Pr -6.7371 -0.2027 2.2641
Pr 1.3458 -3.6697 -5.9395
Tm 0.0000 0.0000 0.0000
```

Results
DOS(E_F) = 1.5301 states/eV/atom
volume = 346.39 Å³/f.u.

--- 2 ---
DFT (PBE) results for crystalline Pm7Pr2Tm at its relaxed geometry.

extended XYZ file:
```
10
Lattice="-3.1893 0.0605 1.6150 0.7413 -10.1310 1.8434 4.1167 5.1623 7.9365" Properties=species:S:1:pos:R:3 pbc="T T T"
Pm 0.0596 0.6737 4.0503
Pm 1.6091 -5.5820 7.3446
Pm 3.0205 0.1952 5.9576
Pm 1.8376 -5.1639 3.8224
Pm -0.7814 -3.1369 2.5321
Pm 0.8344 -2.4541 5.6975
Pm 2.4502 -1.7713 8.8629
Pr 1.9462 2.5833 7.7045
Pr -0.2774 -7.4916 3.6905
Tm 0.0000 0.0000 0.0000
```

Results
DOS(E_F) = 1.4502 states/eV/atom
volume = 360.43 Å³/f.u.

In order of decreasing stability: 1, 2.

--- 1 ---
DFT (PBE) results for crystalline PmPr5Tm3 at its relaxed geometry.

extended XYZ file:
```
18
Lattice="6.3166 0.0000 0.0000 -3.1583 9.6217 -4.5139 0.0000 -2.2033 11.4512" Properties=species:S:1:pos:R:3 pbc="T T T"
Tm 0.0000 0.0000 0.0000
Tm 4.8907 1.5667 7.8603
Tm -1.7324 5.8517 -0.9230
Tm 0.0000 -1.1016 5.7256
Tm 1.7324 4.7501 4.8026
Tm 1.4259 2.6684 2.1347
Pr 4.2904 2.4469 0.1298
Pr 1.1480 3.3982 -1.3285
Pr -2.0104 5.1219 2.5402
Pr 2.5188 -1.6524 8.5884
Pr 3.7978 -0.5508 2.8628
Pr -1.1320 4.9715 6.8075
Pr 5.1687 2.2965 4.3971
Pr 2.0263 1.3453 5.8553
Pr 1.1320 6.0731 1.0819
Pr 2.0104 4.0203 8.2657
Pm 0.7429 -0.5508 2.8628
Pm 5.5738 -1.6524 8.5884
```

Results
DOS(E_F) = 1.4804 states/eV/atom
volume = 316.57 Å³/f.u.

--- 2 ---
DFT (PBE) results for crystalline PmPr5Tm3 at its relaxed geometry.

extended XYZ file:
```
18
Lattice="-6.4042 -5.9934 3.0318 6.1831 -3.6245 5.8956 -1.9511 9.5937 0.6401" Properties=species:S:1:pos:R:3 pbc="T T T"
Pm -4.2329 -0.6044 4.0678
Pm 2.0607 0.5801 5.4997
Pr 1.6420 4.5912 4.0223
Pr -0.0822 -5.8284 8.1898
Pr -0.1105 -4.8090 4.4637
Pr 2.5016 -2.4692 6.0844
Pr -4.6738 2.4450 3.4831
Pr -3.8142 -4.6154 5.5452
Pr -2.0900 5.8041 1.3776
Pr -1.2304 -1.2563 3.4398
Pr -0.9418 1.2320 6.1277
Pr 0.0000 0.0000 0.0000
Tm -1.0308 2.3924 2.5519
Tm -1.1413 -2.4166 7.0156
Tm 1.7021 -2.0738 2.6317
Tm 3.0055 -5.5596 6.4260
Tm -3.2265 -4.0584 2.5014
Tm -1.9231 -7.5442 6.2957
```

Results
DOS(E_F) = 1.5459 states/eV/atom
volume = 314.07 Å³/f.u.

In order of decreasing stability: 1, 2.

--- 1 ---
DFT (PBE) results for crystalline Pm7PrTm12 at its relaxed geometry.

extended XYZ file:
```
20
Lattice="9.1442 0.0000 -3.2330 -4.5721 7.9191 -3.2330 0.0000 0.0000 9.6989" Properties=species:S:1:pos:R:3 pbc="T T T"
Pm -2.2861 3.9596 3.2330
Pm -2.2861 3.9596 -1.6165
Pm 0.0000 0.0000 4.8495
Pm 4.5721 0.0000 3.2330
Pm 4.5721 0.0000 -1.6165
Pm 2.2861 3.9596 -3.2330
Pm 2.2861 3.9596 1.6165
Tm 2.2719 7.9174 -3.2129
Tm 2.3002 0.0017 6.4459
Tm 3.4508 1.9912 0.0014
Tm 0.0010 3.9841 -0.0014
Tm -3.4205 5.9279 0.0200
Tm 4.5711 3.9350 3.2344
Tm 1.1486 1.9929 3.2530
Tm 5.6944 1.9929 -3.2316
Tm 7.9926 1.9912 3.2129
Tm 1.1213 5.9279 3.2316
Tm -1.1223 5.9262 6.4645
Tm 3.4235 5.9262 -0.0200
Pr 0.0000 0.0000 0.0000
```

Results
DOS(E_F) = 1.4351 states/eV/atom
volume = 702.34 Å³/f.u.

--- 2 ---
DFT (PBE) results for crystalline Pm7PrTm12 at its relaxed geometry.

extended XYZ file:
```
20
Lattice="-3.4336 4.6310 -6.4951 -4.1399 -7.3586 -2.0334 -5.8237 2.5455 5.9184" Properties=species:S:1:pos:R:3 pbc="T T T"
Tm -8.9838 1.1274 0.2575
Tm -4.8193 2.2633 -1.0329
Tm -5.5107 -3.8716 -0.8056
Tm -4.4133 -1.3095 -2.8676
Tm -5.1868 -1.1498 1.0912
Tm -8.5192 -1.7777 1.8244
Tm -6.1416 2.0513 2.0196
Tm -8.5778 -2.4454 -1.5772
Tm -4.8780 1.5956 -4.4345
Tm -7.8865 3.6895 -1.8045
Tm -7.2555 -2.2334 -4.6297
Tm -8.2104 0.9677 -3.7013
Pm -10.8285 -0.5370 -4.3797
Pm -6.6986 -0.0911 -1.3051
Pm -11.4369 1.9684 -1.4319
Pm -1.8836 1.7084 -1.8408
Pm -1.9603 -2.1505 -1.1782
Pm -11.5135 -1.8905 -0.7693
Pm -2.5686 0.3549 1.7696
Pr 0.0000 0.0000 0.0000
```

Results
DOS(E_F) = 0.8817 states/eV/atom
volume = 646.86 Å³/f.u.

In order of decreasing stability: 2, 1.

--- 1 ---
DFT (PBE) results for crystalline Pm3Pr3Tm at its relaxed geometry.

extended XYZ file:
```
14
Lattice="7.9954 0.4915 4.1247 2.7247 7.5328 4.1247 0.6566 0.4915 8.9726" Properties=species:S:1:pos:R:3 pbc="T T T"
Pr 6.7417 2.1993 12.0702
Pr 4.6349 6.3164 5.1520
Pr 4.4933 7.4941 10.9373
Pr 1.8481 2.6670 8.7974
Pr 9.5286 5.8487 8.4247
Pr 6.8833 1.0216 6.2848
Tm 7.4564 5.5813 11.2877
Tm 3.9202 2.9344 5.9345
Pm 5.1959 1.1560 9.0951
Pm 6.1807 7.3597 8.1270
Pm 7.3558 4.6596 5.9359
Pm 2.8921 5.7446 8.3481
Pm 8.4845 2.7712 8.8740
Pm 4.0208 3.8561 11.2862
```

Results
DOS(E_F) = 1.3933 states/eV/atom
volume = 249.32 Å³/f.u.

--- 2 ---
DFT (PBE) results for crystalline Pm3Pr3Tm at its relaxed geometry.

extended XYZ file:
```
14
Lattice="6.2725 1.1098 -0.4829 -1.8009 6.1100 -0.4829 -1.3379 -2.1602 12.3388" Properties=species:S:1:pos:R:3 pbc="T T T"
Pr -0.2274 -0.3671 9.8758
Pr 4.1488 3.3697 8.0273
Pr 1.9652 -0.1559 3.3456
Pr 3.3610 5.4267 1.4971
Pr 1.1685 5.2156 8.0273
Pr -1.0151 1.6900 3.3456
Pm 0.9615 1.5524 6.8855
Pm 4.2193 0.8870 5.6865
Pm 2.1722 3.5072 4.4874
Pm -1.0856 4.1726 5.6865
Pm -0.2821 5.1694 -0.4829
Pm 4.7537 2.0504 -0.4829
Tm 1.5521 2.5061 10.3412
Tm 1.5815 2.5535 1.0317
```

Results
DOS(E_F) = 1.4909 states/eV/atom
volume = 242.95 Å³/f.u.

In order of decreasing stability: 2, 1.